# SiBi3Pd PBE optimized geometry
# - density of states at the Fermi level (states/eV per atom) = 0.726
# - formation energy from raw total energies (kJ/mol of formula units) = 305.5
# - excess energy over the best structure of this formula in the dataset (meV/atom) = 0.0
data_SiBi3Pd
_chemical_formula_sum 'Si1 Bi3 Pd1'
_cell_length_a 5.3700
_cell_length_b 5.3700
_cell_length_c 5.3700
_cell_angle_alpha 90.00
_cell_angle_beta 90.00
_cell_angle_gamma 90.00
_symmetry_space_group_name_H-M 'P m -3 m'
_symmetry_Int_Tables_number 221
_symmetry_space_group_name_Hall '-P 4 2 3'
loop_
_atom_site_label
_atom_site_type_symbol
_atom_site_fract_x
_atom_site_fract_y
_atom_site_fract_z
Si1 Si 0.0000 0.0000 0.0000
Bi1 Bi 0.0000 0.5000 0.5000
Pd1 Pd 0.5000 0.5000 0.5000

# SiBiPd2 PBE optimized geometry
# - density of states at the Fermi level (states/eV per atom) = 0.625
# - formation energy from raw total energies (kJ/mol of formula units) = -27.6
data_SiBiPd2
_chemical_formula_sum 'Si4 Bi4 Pd8'
_cell_length_a 6.6515
_cell_length_b 6.6515
_cell_length_c 6.6515
_cell_angle_alpha 90.00
_cell_angle_beta 90.00
_cell_angle_gamma 90.00
_symmetry_space_group_name_H-M 'F m -3 m'
_symmetry_Int_Tables_number 225
_symmetry_space_group_name_Hall '-F 4 2 3'
loop_
_atom_site_label
_atom_site_type_symbol
_atom_site_fract_x
_atom_site_fract_y
_atom_site_fract_z
Si1 Si 0.0000 0.0000 0.0000
Bi1 Bi 0.0000 0.0000 0.5000
Pd1 Pd 0.2500 0.2500 0.2500

# SiBiPd3 PBE optimized geometry
# - density of states at the Fermi level (states/eV per atom) = 0.266
# - formation energy from raw total energies (kJ/mol of formula units) = -118.4
# - excess energy over the best structure of this formula in the dataset (meV/atom) = 0.0
data_SiBiPd3
_chemical_formula_sum 'Si1 Bi1 Pd3'
_cell_length_a 4.6066
_cell_length_b 4.6066
_cell_length_c 4.6066
_cell_angle_alpha 90.00
_cell_angle_beta 90.00
_cell_angle_gamma 90.00
_symmetry_space_group_name_H-M 'P m -3 m'
_symmetry_Int_Tables_number 221
_symmetry_space_group_name_Hall '-P 4 2 3'
loop_
_atom_site_label
_atom_site_type_symbol
_atom_site_fract_x
_atom_site_fract_y
_atom_site_fract_z
Si1 Si 0.0000 0.0000 0.0000
Bi1 Bi 0.5000 0.5000 0.5000
Pd1 Pd 0.0000 0.0000 0.5000

# SiBiPd2 PBE optimized geometry
# - density of states at the Fermi level (states/eV per atom) = 0.359
# - formation energy from raw total energies (kJ/mol of formula units) = -65.9
data_SiBiPd2
_chemical_formula_sum 'Si4 Bi4 Pd8'
_cell_length_a 7.3239
_cell_length_b 7.3239
_cell_length_c 5.9714
_cell_angle_alpha 90.00
_cell_angle_beta 90.00
_cell_angle_gamma 90.00
_symmetry_space_group_name_H-M 'I -4 2 d'
_symmetry_Int_Tables_number 122
_symmetry_space_group_name_Hall 'I -4 2bw'
loop_
_atom_site_label
_atom_site_type_symbol
_atom_site_fract_x
_atom_site_fract_y
_atom_site_fract_z
Si1 Si 0.0000 0.0000 0.0000
Bi1 Bi 0.0000 0.0000 0.5000
Pd1 Pd 0.1739 0.2500 0.1250

# Si2BiPd8 PBE optimized geometry
# - density of states at the Fermi level (states/eV per atom) = 0.491
# - formation energy from raw total energies (kJ/mol of formula units) = -525.4
data_Si2BiPd8
_chemical_formula_sum 'Si4 Bi2 Pd16'
_cell_length_a 15.1698
_cell_length_b 3.8894
_cell_length_c 6.4469
_cell_angle_alpha 90.00
_cell_angle_beta 111.63
_cell_angle_gamma 90.00
_symmetry_space_group_name_H-M 'C 1 2/m 1'
_symmetry_Int_Tables_number 12
loop_
_symmetry_equiv_pos_as_xyz
'x,y,z'
'-x,-y,-z'
'-x,y,-z'
'x,-y,z'
'x+1/2,y+1/2,z'
'-x+1/2,-y+1/2,-z'
'-x+1/2,y+1/2,-z'
'x+1/2,-y+1/2,z'
loop_
_atom_site_label
_atom_site_type_symbol
_atom_site_fract_x
_atom_site_fract_y
_atom_site_fract_z
Si1 Si 0.1918 0.0000 0.1884
Bi1 Bi 0.0000 0.5000 0.5000
Pd1 Pd 0.0399 0.0000 0.2354
Pd2 Pd 0.0974 0.5000 0.9790
Pd3 Pd 0.1794 0.5000 0.4523
Pd4 Pd 0.1986 0.0000 0.8136

# SiBi2Pd2 PBE optimized geometry
# - density of states at the Fermi level (states/eV per atom) = 0.687
# - formation energy from raw total energies (kJ/mol of formula units) = 82.3
# - excess energy over the best structure of this formula in the dataset (meV/atom) = 285.1
data_SiBi2Pd2
_chemical_formula_sum 'Si2 Bi4 Pd4'
_cell_length_a 3.8480
_cell_length_b 3.8480
_cell_length_c 15.3805
_cell_angle_alpha 90.00
_cell_angle_beta 90.00
_cell_angle_gamma 90.00
_symmetry_space_group_name_H-M 'I 4/m m m'
_symmetry_Int_Tables_number 139
_symmetry_space_group_name_Hall '-I 4 2'
loop_
_atom_site_label
_atom_site_type_symbol
_atom_site_fract_x
_atom_site_fract_y
_atom_site_fract_z
Si1 Si 0.0000 0.0000 0.0000
Bi1 Bi 0.0000 0.0000 0.3884
Pd1 Pd 0.0000 0.5000 0.2500

# SiBiPd3 PBE optimized geometry
# - density of states at the Fermi level (states/eV per atom) = 0.396
# - formation energy from raw total energies (kJ/mol of formula units) = 424.2
# - excess energy over the best structure of this formula in the dataset (meV/atom) = 1124.7
data_SiBiPd3
_chemical_formula_sum 'Si1 Bi1 Pd3'
_cell_length_a 5.0399
_cell_length_b 5.0399
_cell_length_c 5.0399
_cell_angle_alpha 90.00
_cell_angle_beta 90.00
_cell_angle_gamma 90.00
_symmetry_space_group_name_H-M 'P m -3 m'
_symmetry_Int_Tables_number 221
_symmetry_space_group_name_Hall '-P 4 2 3'
loop_
_atom_site_label
_atom_site_type_symbol
_atom_site_fract_x
_atom_site_fract_y
_atom_site_fract_z
Si1 Si 0.0000 0.0000 0.0000
Bi1 Bi 0.5000 0.5000 0.5000
Pd1 Pd 0.0000 0.5000 0.5000

# SiBiPd PBE optimized geometry
# - density of states at the Fermi level (states/eV per atom) = 0.410
# - formation energy from raw total energies (kJ/mol of formula units) = 2.9
data_SiBiPd
_chemical_formula_sum 'Si4 Bi4 Pd4'
_cell_length_a 11.3474
_cell_length_b 3.5888
_cell_length_c 6.2090
_cell_angle_alpha 90.00
_cell_angle_beta 90.00
_cell_angle_gamma 90.00
_symmetry_space_group_name_H-M 'A m m 2'
_symmetry_Int_Tables_number 38
loop_
_symmetry_equiv_pos_as_xyz
'x,y,z'
'-x,-y,z'
'-x,y,z'
'x,-y,z'
'x,y+1/2,z+1/2'
'-x,-y+1/2,z+1/2'
'-x,y+1/2,z+1/2'
'x,-y+1/2,z+1/2'
loop_
_atom_site_label
_atom_site_type_symbol
_atom_site_fract_x
_atom_site_fract_y
_atom_site_fract_z
Si1 Si 0.1235 0.0000 0.0000
Bi1 Bi 0.3255 0.0000 0.3341
Pd1 Pd 0.0000 0.0000 0.6666
Pd2 Pd 0.5000 0.0000 0.6677

# SiBi3Pd PBE optimized geometry
# - density of states at the Fermi level (states/eV per atom) = 0.668
# - formation energy from raw total energies (kJ/mol of formula units) = 381.2
# - excess energy over the best structure of this formula in the dataset (meV/atom) = 156.8
data_SiBi3Pd
_chemical_formula_sum 'Si1 Bi3 Pd1'
_cell_length_a 5.3423
_cell_length_b 5.3423
_cell_length_c 5.3423
_cell_angle_alpha 90.00
_cell_angle_beta 90.00
_cell_angle_gamma 90.00
_symmetry_space_group_name_H-M 'P m -3 m'
_symmetry_Int_Tables_number 221
_symmetry_space_group_name_Hall '-P 4 2 3'
loop_
_atom_site_label
_atom_site_type_symbol
_atom_site_fract_x
_atom_site_fract_y
_atom_site_fract_z
Si1 Si 0.0000 0.0000 0.0000
Bi1 Bi 0.0000 0.0000 0.5000
Pd1 Pd 0.5000 0.5000 0.5000

# SiBi2Pd2 PBE optimized geometry
# - density of states at the Fermi level (states/eV per atom) = 0.589
# - formation energy from raw total energies (kJ/mol of formula units) = 89.2
# - excess energy over the best structure of this formula in the dataset (meV/atom) = 299.3
data_SiBi2Pd2
_chemical_formula_sum 'Si2 Bi4 Pd4'
_cell_length_a 8.1794
_cell_length_b 8.1794
_cell_length_c 3.3344
_cell_angle_alpha 90.00
_cell_angle_beta 90.00
_cell_angle_gamma 90.00
_symmetry_space_group_name_H-M 'P 4/m b m'
_symmetry_Int_Tables_number 127
_symmetry_space_group_name_Hall '-P 4 2ab'
loop_
_atom_site_label
_atom_site_type_symbol
_atom_site_fract_x
_atom_site_fract_y
_atom_site_fract_z
Si1 Si 0.0000 0.0000 0.0000
Bi1 Bi 0.1695 0.3305 0.0000
Pd1 Pd 0.1245 0.6245 0.5000

# SiBi2Pd2 PBE optimized geometry
# - density of states at the Fermi level (states/eV per atom) = 0.271
# - formation energy from raw total energies (kJ/mol of formula units) = -55.2
# - excess energy over the best structure of this formula in the dataset (meV/atom) = 0.0
data_SiBi2Pd2
_chemical_formula_sum 'Si2 Bi4 Pd4'
_cell_length_a 6.4401
_cell_length_b 6.4401
_cell_length_c 5.2473
_cell_angle_alpha 90.00
_cell_angle_beta 90.00
_cell_angle_gamma 90.00
_symmetry_space_group_name_H-M 'P 4/m b m'
_symmetry_Int_Tables_number 127
_symmetry_space_group_name_Hall '-P 4 2ab'
loop_
_atom_site_label
_atom_site_type_symbol
_atom_site_fract_x
_atom_site_fract_y
_atom_site_fract_z
Si1 Si 0.0000 0.0000 0.0000
Bi1 Bi 0.1840 0.3160 0.5000
Pd1 Pd 0.1600 0.6600 0.0000

# SiBiPd4 PBE optimized geometry
# - density of states at the Fermi level (states/eV per atom) = 0.434
# - formation energy from raw total energies (kJ/mol of formula units) = -213.1
data_SiBiPd4
_chemical_formula_sum 'Si4 Bi4 Pd16'
_cell_length_a 14.0555
_cell_length_b 4.5479
_cell_length_c 6.8827
_cell_angle_alpha 90.00
_cell_angle_beta 100.54
_cell_angle_gamma 90.00
_symmetry_space_group_name_H-M 'C 1 2/c 1'
_symmetry_Int_Tables_number 15
loop_
_symmetry_equiv_pos_as_xyz
'x,y,z'
'-x,-y,-z'
'-x,y,-z+1/2'
'x,-y,z+1/2'
'x+1/2,y+1/2,z'
'-x+1/2,-y+1/2,-z'
'-x+1/2,y+1/2,-z+1/2'
'x+1/2,-y+1/2,z+1/2'
loop_
_atom_site_label
_atom_site_type_symbol
_atom_site_fract_x
_atom_site_fract_y
_atom_site_fract_z
Si1 Si 0.2500 0.2500 0.0000
Bi1 Bi 0.0000 0.1331 0.2500
Pd1 Pd 0.0841 0.3626 0.9385
Pd2 Pd 0.1968 0.1894 0.6487

Q: Among the records above, which one has the lowest density of states at the Fermi level?
A: number 3

Q: Which formula does entry 12 have?
A: SiBiPd4